[1]
VASP calculation (PBE) on a geometry-optimized Y4CdTe structure.

Output
Its density of states at the Fermi level is 1.58 states/eV per atom. Its total magnetization is 0.0 Bohr magnetons per cell. As for the uncorrected formation energy: 0.861 eV per formula unit. For the total energy, the calculation gives -4.842 eV/atom.

Cell lengths 6.3867, 6.3867, 6.3867 Å; angles 60.00, 60.00, 60.00 degrees
Fractional positions:
Cd: 0.7500 0.7500 0.7500
Y: 0.3756 0.8731 0.3756
Y: 0.8731 0.3756 0.3756
Te: 0.0000 0.0000 0.0000
Y: 0.3756 0.3756 0.8731
Y: 0.3756 0.3756 0.3756


[2]
VASP calculation (PBE) on a geometry-optimized Y3CdTe6 structure.

Output
Its density of states at the Fermi level is 0.44 states/eV per atom. Its total magnetization is 0.0 Bohr magnetons per cell. As for the uncorrected formation energy: -10.680 eV per formula unit. For the total energy, the calculation gives -4.984 eV/atom.

Cell lengths 7.5410, 9.4148, 9.4148 Å; angles 99.38, 90.00, 90.00 degrees
Fractional positions:
Y: 0.4836 0.2729 0.0804
Te: 0.1840 0.0360 0.9640
Te: 0.6390 0.2283 0.7717
Te: 0.2211 0.0947 0.5420
Te: 0.1806 0.7051 0.6249
Y: 0.9836 0.0804 0.2729
Cd: 0.0098 0.2163 0.7837
Te: 0.6840 0.9640 0.0360
Te: 0.2211 0.4580 0.9053
Te: 0.7211 0.9053 0.4580
Cd: 0.5098 0.7837 0.2163
Te: 0.7211 0.5420 0.0947
Y: 0.8820 0.5955 0.4045
Y: 0.4836 0.9196 0.7271
Y: 0.3820 0.4045 0.5955
Te: 0.1390 0.7717 0.2283
Te: 0.6806 0.6249 0.7051
Y: 0.9836 0.7271 0.9196
Te: 0.6806 0.2949 0.3751
Te: 0.1806 0.3751 0.2949


[3]
VASP calculation (PBE) on a geometry-optimized YCdTe2 structure.

Output
Its density of states at the Fermi level is 0.39 states/eV per atom. Its total magnetization is 0.0 Bohr magnetons per cell. As for the uncorrected formation energy: -2.746 eV per formula unit. For the total energy, the calculation gives -4.102 eV/atom.

Cell lengths 5.2612, 8.4104, 3.9121 Å; angles 62.18, 90.07, 128.74 degrees
Fractional positions:
Te: 0.0000 0.0000 0.0000
Te: 0.0000 0.5000 0.5000
Cd: 0.5000 0.0000 0.5000
Y: 0.5000 0.5000 0.0000


[4]
VASP calculation (PBE) on a geometry-optimized Y2CdTe structure.

Output
Its density of states at the Fermi level is 0.95 states/eV per atom. Its total magnetization is 0.0 Bohr magnetons per cell. As for the uncorrected formation energy: -2.872 eV per formula unit. For the total energy, the calculation gives -4.964 eV/atom.

Cell lengths 4.0319, 4.0319, 8.6894 Å; angles 76.59, 76.59, 60.00 degrees
Fractional positions:
Y: 0.2490 0.2490 0.2529
Y: 0.0844 0.0844 0.7469
Cd: 0.6673 0.6673 0.9982
Te: 0.4993 0.4993 0.5020


[5]
VASP calculation (PBE) on a geometry-optimized ZnCdTe3 structure.

Output
Its density of states at the Fermi level is 1.92 states/eV per atom. Its total magnetization is 0.0 Bohr magnetons per cell. As for the uncorrected formation energy: 3.122 eV per formula unit. For the total energy, the calculation gives -1.698 eV/atom.

Cell lengths 5.6271, 5.6271, 5.6271 Å; angles 90.00, 90.00, 90.00 degrees
Fractional positions:
Cd: 0.0000 0.0000 0.0000
Te: 0.0000 0.0000 0.5000
Te: 0.0000 0.5000 0.0000
Zn: 0.5000 0.5000 0.5000
Te: 0.5000 0.0000 0.0000


[6]
VASP calculation (PBE) on a geometry-optimized ZnCdTe structure.

Output
Its density of states at the Fermi level is 0.14 states/eV per atom. Its total magnetization is 0.0 Bohr magnetons per cell. As for the uncorrected formation energy: -0.235 eV per formula unit. For the total energy, the calculation gives -1.855 eV/atom.

Cell lengths 4.1326, 4.1326, 5.1322 Å; angles 90.00, 90.00, 120.00 degrees
Fractional positions:
Zn: 0.3333 0.6667 0.6460
Te: 0.6667 0.3333 0.3760
Cd: 0.0000 0.0000 0.9780


[7]
VASP calculation (PBE) on a geometry-optimized ZnCdTe2 structure.

Output
Its density of states at the Fermi level is 0.43 states/eV per atom. Its total magnetization is 0.0 Bohr magnetons per cell. As for the uncorrected formation energy: 0.437 eV per formula unit. For the total energy, the calculation gives -2.009 eV/atom.

Cell lengths 3.2591, 3.2591, 10.1654 Å; angles 90.00, 90.00, 105.05 degrees
Fractional positions:
Zn: 0.0000 0.0000 0.5150
Te: 0.0000 0.0000 0.9607
Te: 0.5000 0.5000 0.3092
Cd: 0.5000 0.5000 0.7151


[8]
VASP calculation (PBE) on a geometry-optimized ZnCdTe2 structure.

Output
Its density of states at the Fermi level is 0.35 states/eV per atom. Its total magnetization is 0.0 Bohr magnetons per cell. As for the uncorrected formation energy: -0.069 eV per formula unit. For the total energy, the calculation gives -2.135 eV/atom.

Cell lengths 5.9662, 5.2847, 4.5419 Å; angles 74.16, 73.88, 116.43 degrees
Fractional positions:
Zn: 0.0000 0.5000 0.5000
Te: 0.0000 0.0000 0.0000
Cd: 0.5000 0.5000 0.0000
Te: 0.5000 0.0000 0.5000


[9]
VASP calculation (PBE) on a geometry-optimized ZnCdTe2 structure.

Output
Its density of states at the Fermi level is 0.00 states/eV per atom. Its total magnetization is 0.0 Bohr magnetons per cell. As for the uncorrected formation energy: -1.321 eV per formula unit. For the total energy, the calculation gives -2.448 eV/atom.

Cell lengths 6.3818, 7.9218, 7.9218 Å; angles 69.33, 113.74, 66.26 degrees
Fractional positions:
Te: 0.7749 0.3564 0.4065
Zn: 0.7500 0.9999 0.4999
Te: 0.2749 0.0935 0.1436
Te: 0.7251 0.9065 0.8564
Cd: 0.7500 0.5001 0.0001
Cd: 0.2500 0.4999 0.9999
Te: 0.2251 0.6436 0.5935
Zn: 0.2500 0.0001 0.5001


[10]
VASP calculation (PBE) on a geometry-optimized ZnCdTe structure.

Output
Its density of states at the Fermi level is 0.39 states/eV per atom. Its total magnetization is 0.0 Bohr magnetons per cell. As for the uncorrected formation energy: 0.426 eV per formula unit. For the total energy, the calculation gives -1.635 eV/atom.

Cell lengths 6.8398, 6.8398, 6.8398 Å; angles 151.77, 151.77, 40.34 degrees
Fractional positions:
Te: 0.3211 0.3211 0.0000
Cd: 0.0218 0.0218 0.0000
Zn: 0.6571 0.6571 0.0000


- Number 3 is which compound?
  YCdTe2